LiSb3TeClO6 | PBE | optimized geometry

Cell: 8.0161 8.0161 9.5077 Å, 119.82 119.82 30.21°
Last column: nearest neighbours and their distance in Å.
Sites, in units of the cell vectors:
Li: 0.0000 0.0000 0.0000  2 O 1.87-2.00
Sb: 0.4758 0.4758 0.3596  4 O 1.99-2.19
Sb: 0.7982 0.7982 0.0756  4 O 2.01-2.19
Sb: 0.8010 0.8010 0.6965  4 O 2.00-2.23
Te: 0.4930 0.4930 0.7423  4 O 2.00-2.19
Cl: 0.1539 0.1539 0.7196  4 O 3.15-3.51, 2 Sb 3.18, 2 Te 3.34
O: 0.3424 0.3424 0.1413  3 Sb 2.04-2.19
O: 0.3557 0.3557 0.7141  1 Te 2.00, 2 Sb 2.23
O: 0.4079 0.4079 0.4898  1 Sb 1.99, 1 Te 2.06
O: 0.8643 0.8643 0.9409  1 Li 1.87, 2 Sb 2.00-2.01
O: 0.9341 0.9341 0.2871  3 Sb 2.03-2.19
O: 0.9571 0.9571 0.7621  1 Li 2.00, 1 Sb 2.16, 2 Te 2.19

The value obtained for the excess energy over the best structure of this formula in the dataset is 14 meV/atom. As for the symmetry: No. 8. As for the crystal system: monoclinic.

---

LiSeClO2 | PBE | optimized geometry

Cell: 3.8072 3.8072 4.4401 Å, 90.00 90.00 90.00°
Last column: nearest neighbours and their distance in Å.
Sites, in units of the cell vectors:
Li: 0.0000 0.0000 0.0000  4 O 1.90
Se: 0.5000 0.5000 0.5000  4 Cl 2.69, 8 O 2.92
Cl: 0.0000 0.0000 0.5000  2 Li 2.22
O: 0.0000 0.5000 0.0000  2 Li 1.90
O: 0.5000 0.0000 0.0000  2 Li 1.90

The value obtained for the excess energy over the best structure of this formula in the dataset is 1450 meV/atom. As for the symmetry: No. 123. As for the crystal system: tetragonal. The density of states at the Fermi level comes out at 5.21 states/eV/f.u.

---

LiSeClO2 | PBE | optimized geometry

Cell: 5.7072 3.9343 6.9981 Å, 90.00 101.69 90.00°
Last column: nearest neighbours and their distance in Å.
Sites, in units of the cell vectors:
Li: 0.2122 0.2500 0.4613  3 O 2.13-2.33
Li: 0.7878 0.7500 0.5387  3 O 2.13-2.33
Se: 0.1475 0.2500 0.8881  1 O 1.67
Se: 0.8525 0.7500 0.1119  1 O 1.67
Cl: 0.4602 0.7500 0.7119  1 Li 2.43
Cl: 0.5398 0.2500 0.2881  1 Li 2.43
O: 0.0216 0.7500 0.3370  1 Se 1.67
O: 0.0816 0.7500 0.9521  3 Se 1.89-2.07
O: 0.9184 0.2500 0.0479  3 Se 1.89-2.07
O: 0.9784 0.2500 0.6630  1 Se 1.67

The value obtained for the excess energy over the best structure of this formula in the dataset is 0 meV/atom. As for the symmetry: No. 11. As for the crystal system: monoclinic. The density of states at the Fermi level comes out at 0.00 states/eV/f.u.

---

Sr2LiCl2O2 | PBE | optimized geometry

Cell: 4.0182 4.0182 15.6964 Å, 90.00 90.00 90.00°
Last column: nearest neighbours and their distance in Å.
Sites, in units of the cell vectors:
Sr: 0.0000 0.0000 0.1083  4 O 2.63
Sr: 0.0000 0.0000 0.8917  4 O 2.63
Sr: 0.5000 0.5000 0.3917  4 O 2.63
Sr: 0.5000 0.5000 0.6083  4 O 2.63
Li: 0.0000 0.0000 0.5000  4 O 2.01
Li: 0.5000 0.5000 0.0000  4 O 2.01
Cl: 0.0000 0.0000 0.3198  1 Li 2.83, 4 Sr 3.06
Cl: 0.0000 0.0000 0.6802  1 Li 2.83, 4 Sr 3.06
Cl: 0.5000 0.5000 0.1802  1 Li 2.83, 4 Sr 3.06
Cl: 0.5000 0.5000 0.8198  1 Li 2.83, 4 Sr 3.06
O: 0.0000 0.5000 0.0000  2 Li 2.01
O: 0.0000 0.5000 0.5000  2 Li 2.01
O: 0.5000 0.0000 0.0000  2 Li 2.01
O: 0.5000 0.0000 0.5000  2 Li 2.01

As for the symmetry: No. 139. As for the crystal system: tetragonal. The density of states at the Fermi level comes out at 1.67 states/eV/f.u.

---

| no. | calculated total energy (eV per atom) | E_form (uncorrected) (eV per atom) | total magnetization (μB/cell) |
| --- | --- | --- | --- |
| 1 | -5.22 | -1.13 | 1.0 |
| 2 | -3.07 | 0.36 | 0.0 |
| 3 | -4.52 | -1.09 | 0.0 |
| 4 | -4.92 | -2.22 | 2.0 |